A plane-wave DFT calculation with GGA-PBE was carried out for PrYIO6 after structural relaxation.

Uncorrected energy (Ha/atom): -0.247
DOS at the Fermi energy (states/eV per atom): 0.52

Cell and atoms, written as CIF:
```
data_PrYIO6
_chemical_formula_sum 'Pr2 Y2 I2 O12'
_symmetry_space_group_name_H-M 'P -3 1 c'
_symmetry_Int_Tables_number 163
_symmetry_space_group_name_Hall '-P 3 2c'
_cell_length_a 5.6757
_cell_length_b 5.6757
_cell_length_c 9.9821
_cell_angle_alpha 90.00
_cell_angle_beta 90.00
_cell_angle_gamma 120.00
loop_
_atom_site_label
_atom_site_fract_x
_atom_site_fract_y
_atom_site_fract_z
Pr1 0.0000 0.0000 0.0000
Y1 0.3333 0.6667 0.2500
I1 0.3333 0.6667 0.7500
O1 0.0354 0.3721 0.6381
```